{
  "formula": "LiYErSc",
  "functional": "GGA-PBE",
  "state": "optimized geometry",
  "cell": [[5.324, 0.000, 0.000], [2.662, 4.611, 0.000], [2.662, 1.537, 4.347]],
  "species": ["Li", "Sc", "Er", "Y"],
  "frac_coords": [[0.500, 0.500, 0.500], [0.000, 0.000, 0.000], [0.250, 0.250, 0.250], [0.750, 0.750, 0.750]],
  "magnetic_moment_mub_per_cell": 0.00,
  "spacegroup": "F-43m (216)",
  "formation_energy_mev_per_atom": 157
}